Co3SeBr PBE optimized geometry; raw formation energy = 3.54 eV per formula unit; Fermi-level density of states = 6.6 states/eV/f.u.; total magnetization = 6.00 μB per formula unit
1.0
-0.935 -0.700 4.415
-4.346 -0.913 -1.065
1.046 -4.420 -0.480
Co Se Br
3 1 1
Cartesian
-2.173 -0.456 -0.533
0.523 -2.210 -0.240
-0.467 -0.350 2.207
0.000 0.000 0.000
-2.118 -3.016 1.435